[1]
# Sm3MgIr

Sm3MgIr after structural relaxation (PBE-GGA, Alexandria via LeMat-Bulk).

Cell lengths 7.239, 10.542, 8.863 Å; angles 120.91, 90.00, 90.00 degrees
Atoms (fractional coordinates):
Sm: 0.993 0.697 0.311
Sm: 0.002 0.924 0.760
Sm: 0.891 0.312 0.081
Sm: 0.609 0.812 0.081
Sm: 0.109 0.688 0.919
Sm: 0.498 0.424 0.760
Sm: 0.391 0.188 0.919
Sm: 0.502 0.576 0.240
Sm: 0.493 0.803 0.689
Sm: 0.507 0.197 0.311
Sm: 0.998 0.076 0.240
Sm: 0.007 0.303 0.689
Ir: 0.294 0.960 0.002
Ir: 0.794 0.540 0.998
Ir: 0.206 0.460 0.002
Ir: 0.706 0.040 0.998
Mg: 0.797 0.523 0.539
Mg: 0.203 0.477 0.461
Mg: 0.297 0.977 0.461
Mg: 0.703 0.023 0.539

Summary:
symmetry	P2_1/c
formation energy from the elements	-0.34	eV per atom
N(E_F)	0.9192	states/eV/atom

[2]
# GaCu14Au

GaCu14Au after structural relaxation (PBE-GGA, Alexandria via LeMat-Bulk).

Cell lengths 5.229, 5.229, 8.496 Å; angles 90.00, 90.00, 119.97 degrees
Atoms (fractional coordinates):
Cu: 0.710 0.794 0.000
Cu: 0.372 0.628 0.759
Cu: 0.709 0.291 0.000
Cu: 0.374 0.120 0.759
Cu: 0.880 0.626 0.759
Cu: 0.374 0.120 0.241
Cu: 0.874 0.126 0.753
Cu: 0.206 0.290 0.000
Cu: 0.880 0.626 0.241
Cu: 0.042 0.459 0.500
Cu: 0.208 0.792 0.000
Cu: 0.372 0.628 0.241
Cu: 0.541 0.958 0.500
Cu: 0.874 0.126 0.247
Au: 0.542 0.458 0.500
Ga: 0.042 0.958 0.500

Summary:
symmetry	Amm2
formation energy from the elements	-0.02	eV per atom
N(E_F)	0.1679	states/eV/atom

[3]
# V2Fe2Si

V2Fe2Si after structural relaxation (PBE-GGA, Alexandria via LeMat-Bulk).

Cell lengths 3.495, 3.495, 6.091 Å; angles 73.33, 73.33, 90.00 degrees
Each line ends with the local moment (μB).
Atoms (fractional coordinates):
Si: 0.000 0.000 0.000  -0.05
V: 0.390 0.390 0.220  0.96
V: 0.610 0.610 0.780  0.96
Fe: 0.750 0.250 0.500  -0.99
Fe: 0.250 0.750 0.500  -0.99

Summary:
total energy	-7.76	eV/atom
symmetry	I4/mmm
N(E_F)	0.8716	states/eV/atom

[4]
# Fe2TeP

Fe2TeP after structural relaxation (PBE-GGA, Alexandria via LeMat-Bulk).

Cell lengths 3.668, 3.666, 5.814 Å; angles 90.28, 90.00, 90.00 degrees
Each line ends with the local moment (μB).
Atoms (fractional coordinates):
Te: 0.500 0.873 0.852  -0.07
Fe: 0.500 0.375 0.147  0.89
Fe: 0.000 0.875 0.147  0.89
P: 0.000 0.377 0.355  -0.08

Summary:
total energy	-6.46	eV/atom
symmetry	Pm
N(E_F)	1.1132	states/eV/atom

Q: Look up the N(E_F) of the first one.
A: 0.9192 states/eV/atom

Q: N(E_F) of number 4 (Fe2TeP)?
A: 1.1132 states/eV/atom

Q: Among the records above, which one has the highest N(E_F)?
A: Fe2TeP

What did the fourth record say?
# Fe2TeP

Fe2TeP after structural relaxation (PBE-GGA, Alexandria via LeMat-Bulk).

Cell lengths 3.668, 3.666, 5.814 Å; angles 90.28, 90.00, 90.00 degrees
Each line ends with the local moment (μB).
Atoms (fractional coordinates):
Te: 0.500 0.873 0.852  -0.07
Fe: 0.500 0.375 0.147  0.89
Fe: 0.000 0.875 0.147  0.89
P: 0.000 0.377 0.355  -0.08

Summary:
total energy	-6.46	eV/atom
symmetry	Pm
N(E_F)	1.1132	states/eV/atom